No. 1
The following is a PBE calculation of a geometry-optimized SrAlN2F structure, from Alexandria.

Calculated values
- formation energy from raw total energies (eV per atom) = 0.584
- N(E_F) (states/eV per cell) = 2.7

Cell: 5.037 5.037 4.591 Å, 90.00 90.00 90.00°
Space group P4/mmm (No. 123)
Inequivalent atoms, fractional coordinates:
1 Sr 0.000 0.000 0.000 [1 per cell]
2 Al 0.500 0.500 0.500 [1 per cell]
3 N 0.000 0.500 0.000 [2 per cell]
4 F 0.000 0.000 0.500 [1 per cell]


No. 2
The following is a PBE calculation of a geometry-optimized PaAgGe2 structure, from Alexandria.

Calculated values
- N(E_F) (states/eV per cell) = 4.4
- calculated formation energy (eV per atom) = -0.267

Cell: 4.474 4.474 4.056 Å, 90.00 90.00 90.00°
Space group P4/mmm (No. 123)
Inequivalent atoms, fractional coordinates:
1 Pa 0.000 0.000 0.000 [1 per cell]
2 Ag 0.500 0.500 0.000 [1 per cell]
3 Ge 0.000 0.500 0.500 [2 per cell]


No. 3
The following is a PBE calculation of a geometry-optimized SmDyPd14 structure, from Alexandria.

Calculated values
- N(E_F) (states/eV per cell) = 23.3
- calculated formation energy (eV per atom) = -0.394

Cell: 5.786 5.786 7.963 Å, 90.00 90.00 90.00°
Space group P4/mmm (No. 123)
Inequivalent atoms, fractional coordinates:
1 Sm 0.000 0.000 0.000 [1 per cell]
2 Dy 0.500 0.500 0.000 [1 per cell]
3 Pd 0.000 0.000 0.500 [1 per cell]
4 Pd 0.000 0.500 0.000 [2 per cell]
5 Pd 0.000 0.500 0.500 [2 per cell]
6 Pd 0.251 0.251 0.260 [8 per cell]
7 Pd 0.500 0.500 0.500 [1 per cell]


No. 4
The following is a PBE calculation of a geometry-optimized Li2FeSe structure, from Alexandria.

Calculated values
- formation energy from raw total energies (eV per atom) = -0.100
- N(E_F) (states/eV per cell) = 13.0

Cell: 7.616 7.616 4.689 Å, 90.00 90.00 90.00°
Space group I-42d (No. 122)
Inequivalent atoms, fractional coordinates:
1 Li 0.192 0.750 0.125 [8 per cell]
2 Fe 0.000 0.000 0.500 [4 per cell]
3 Se 0.000 0.000 0.000 [4 per cell]


Number 1: total DFT energy (no corrections) -21.026 eV/cell. Number 2: total DFT energy (no corrections) -22.651 eV/cell. Number 3: total DFT energy (no corrections) -88.320 eV/cell. Number 4: total DFT energy (no corrections) -64.704 eV/cell.